(1)
LiHo2V: optimized geometry, GGA-PBE.

Mass density: 6.62 g/cm³
Fermi-level density of states: 3.7 states/eV/f.u.
Magnetic moment: 2.5 μB/f.u.
Relative energy among the computed polymorphs: 0 meV per atom
ΔH_f (0 K): 0.20 eV per atom

The structure in CIF format:
```
data_LiHo2V
_space_group_name_H-M_alt 'P 4/m m m'
_space_group_IT_number 123
_space_group_name_Hall '-P 4 2'
_cell_length_a 3.5577
_cell_length_b 3.5577
_cell_length_c 7.6810
_cell_angle_alpha 90.00
_cell_angle_beta 90.00
_cell_angle_gamma 90.00
loop_
_atom_site_label
_atom_site_type_symbol
_atom_site_fract_x
_atom_site_fract_y
_atom_site_fract_z
Li1 Li 0.0000 0.0000 0.0000
Ho1 Ho 0.5000 0.5000 0.2786
V1 V 0.0000 0.0000 0.5000
```

***

(2)
LiMg2Ag2: optimized geometry, GGA-PBE.

Mass density: 4.58 g/cm³
Fermi-level density of states: 1.8 states/eV/f.u.
Magnetic moment: 0.0 μB/f.u.
Relative energy among the computed polymorphs: 61 meV per atom
ΔH_f (0 K): -0.15 eV per atom

The structure in CIF format:
```
data_LiMg2Ag2
_space_group_name_H-M_alt 'P 4/m b m'
_space_group_IT_number 127
_space_group_name_Hall '-P 4 2ab'
_cell_length_a 7.9268
_cell_length_b 7.9268
_cell_length_c 3.1321
_cell_angle_alpha 90.00
_cell_angle_beta 90.00
_cell_angle_gamma 90.00
loop_
_atom_site_label
_atom_site_type_symbol
_atom_site_fract_x
_atom_site_fract_y
_atom_site_fract_z
Li1 Li 0.0000 0.0000 0.0000
Mg1 Mg 0.1375 0.3625 0.0000
Ag1 Ag 0.1603 0.6603 0.5000
```

***

(3)
PaTi2In: optimized geometry, GGA-PBE.

Mass density: 8.94 g/cm³
Fermi-level density of states: 4.4 states/eV/f.u.
Magnetic moment: 0.0 μB/f.u.
Relative energy among the computed polymorphs: 77 meV per atom
ΔH_f (0 K): 0.02 eV per atom

The structure in CIF format:
```
data_PaTi2In
_space_group_name_H-M_alt 'R 3 m'
_space_group_IT_number 160
_space_group_name_Hall 'R 3 -2"'
_cell_length_a 3.1057
_cell_length_b 3.1057
_cell_length_c 29.4547
_cell_angle_alpha 90.00
_cell_angle_beta 90.00
_cell_angle_gamma 120.00
loop_
_atom_site_label
_atom_site_type_symbol
_atom_site_fract_x
_atom_site_fract_y
_atom_site_fract_z
Pa1 Pa 0.0000 0.0000 0.0000
Ti1 Ti 0.0000 0.0000 0.2490
Ti2 Ti 0.0000 0.0000 0.4177
In1 In 0.0000 0.0000 0.8335
```

***

(4)
DyTh2Sc7: optimized geometry, GGA-PBE.

Mass density: 5.74 g/cm³
Fermi-level density of states: 17.6 states/eV/f.u.
Magnetic moment: 0.0 μB/f.u.
Relative energy among the computed polymorphs: 0 meV per atom
ΔH_f (0 K): 0.21 eV per atom

The structure in CIF format:
```
data_DyTh2Sc7
_space_group_name_H-M_alt 'C m m m'
_space_group_IT_number 65
_space_group_name_Hall '-C 2 2'
_cell_length_a 6.1410
_cell_length_b 27.1206
_cell_length_c 3.2685
_cell_angle_alpha 90.00
_cell_angle_beta 90.00
_cell_angle_gamma 90.00
loop_
_atom_site_label
_atom_site_type_symbol
_atom_site_fract_x
_atom_site_fract_y
_atom_site_fract_z
Dy1 Dy 0.0000 0.0000 0.0000
Th1 Th 0.0000 0.1998 0.5000
Sc1 Sc 0.0000 0.3089 0.0000
Sc2 Sc 0.0000 0.5000 0.5000
Sc3 Sc 0.2475 0.3998 0.5000
```

***

(5)
ErNpS2: optimized geometry, GGA-PBE.

Mass density: 9.37 g/cm³
Fermi-level density of states: 8.3 states/eV/f.u.
Magnetic moment: 4.3 μB/f.u.
Relative energy among the computed polymorphs: 0 meV per atom
Formation energy from raw total energies: -1678 meV/atom

The structure in CIF format:
```
data_ErNpS2
_space_group_name_H-M_alt 'R -3 m'
_space_group_IT_number 166
_space_group_name_Hall '-R 3 2"'
_cell_length_a 3.8929
_cell_length_b 3.8929
_cell_length_c 18.9796
_cell_angle_alpha 90.00
_cell_angle_beta 90.00
_cell_angle_gamma 120.00
loop_
_atom_site_label
_atom_site_type_symbol
_atom_site_fract_x
_atom_site_fract_y
_atom_site_fract_z
Er1 Er 0.0000 0.0000 0.0000
Np1 Np 0.0000 0.0000 0.5000
S1 S 0.0000 0.0000 0.2513
```

***

(6)
CdAsCl2: optimized geometry, GGA-PBE.

Mass density: 4.93 g/cm³
Fermi-level density of states: 3.3 states/eV/f.u.
Magnetic moment: 0.9 μB/f.u.
Relative energy among the computed polymorphs: 602 meV per atom
Formation energy from raw total energies: 199 meV/atom

The structure in CIF format:
```
data_CdAsCl2
_space_group_name_H-M_alt 'F -4 3 m'
_space_group_IT_number 216
_space_group_name_Hall 'F -4 2 3'
_cell_length_a 7.0351
_cell_length_b 7.0351
_cell_length_c 7.0351
_cell_angle_alpha 90.00
_cell_angle_beta 90.00
_cell_angle_gamma 90.00
loop_
_atom_site_label
_atom_site_type_symbol
_atom_site_fract_x
_atom_site_fract_y
_atom_site_fract_z
Cd1 Cd 0.0000 0.0000 0.0000
As1 As 0.2500 0.2500 0.7500
Cl1 Cl 0.0000 0.0000 0.5000
Cl2 Cl 0.2500 0.2500 0.2500
```